(1)
A relaxed structure of Y2NpIn3S6, computed with PBE.

```
data_Y2NpIn3S6
_cell_length_a 6.956
_cell_length_b 6.956
_cell_length_c 7.853
_cell_angle_alpha 98.49
_cell_angle_beta 98.49
_cell_angle_gamma 120.00
_symmetry_space_group_name_H-M 'P 1'
_symmetry_Int_Tables_number 1
loop_
_symmetry_equiv_pos_as_xyz
'x,y,z'
loop_
_atom_site_label
_atom_site_type_symbol
_atom_site_fract_x
_atom_site_fract_y
_atom_site_fract_z
_atom_site_occupancy
Y1 Y 0.333 0.667 0.000 1
Y2 Y 0.667 0.333 0.000 1
Np1 Np 0.000 0.000 0.000 1
In1 In 0.167 0.833 0.500 1
In2 In 0.833 0.167 0.500 1
In3 In 0.500 0.500 0.500 1
S1 S 0.933 0.598 0.799 1
S2 S 0.732 0.732 0.201 1
S3 S 0.067 0.402 0.201 1
S4 S 0.598 0.933 0.799 1
S5 S 0.268 0.268 0.799 1
S6 S 0.402 0.067 0.201 1
```

Properties
M_tot, μB per formula unit: 4.0
Electronic total energy, eV per atom: -6.140
SG: C2/m, No. 12
ΔE_f (raw), eV/atom: -1.24



(2)
A relaxed structure of Np2InSb, computed with PBE.

```
data_Np2InSb
_cell_length_a 3.331
_cell_length_b 3.331
_cell_length_c 9.151
_cell_angle_alpha 90.00
_cell_angle_beta 90.00
_cell_angle_gamma 90.00
_symmetry_space_group_name_H-M 'P 1'
_symmetry_Int_Tables_number 1
loop_
_symmetry_equiv_pos_as_xyz
'x,y,z'
loop_
_atom_site_label
_atom_site_type_symbol
_atom_site_fract_x
_atom_site_fract_y
_atom_site_fract_z
_atom_site_occupancy
Np1 Np 0.000 0.000 0.741 1
Np2 Np 0.000 0.000 0.259 1
Sb1 Sb 0.500 0.500 0.500 1
In1 In 0.500 0.500 0.000 1
```

Properties
M_tot, μB per formula unit: 9.2
Electronic total energy, eV per atom: -8.146
SG: P4/mmm, No. 123
ΔE_f (raw), eV/atom: 0.04
Distance to the lowest polymorph of the same formula, eV/atom: 0.028



(3)
A relaxed structure of NpInSb2, computed with PBE.

```
data_NpInSb2
_cell_length_a 4.039
_cell_length_b 4.039
_cell_length_c 6.521
_cell_angle_alpha 90.00
_cell_angle_beta 90.00
_cell_angle_gamma 90.00
_symmetry_space_group_name_H-M 'P 1'
_symmetry_Int_Tables_number 1
loop_
_symmetry_equiv_pos_as_xyz
'x,y,z'
loop_
_atom_site_label
_atom_site_type_symbol
_atom_site_fract_x
_atom_site_fract_y
_atom_site_fract_z
_atom_site_occupancy
Np1 Np 0.500 0.500 0.500 1
Sb1 Sb 0.000 0.000 0.735 1
Sb2 Sb 0.000 0.000 0.265 1
In1 In 0.500 0.500 0.000 1
```

Properties
M_tot, μB per formula unit: 4.1
Electronic total energy, eV per atom: -6.116
SG: P4/mmm, No. 123
ΔE_f (raw), eV/atom: -0.14
Distance to the lowest polymorph of the same formula, eV/atom: 0.029



(4)
A relaxed structure of Np2InSb, computed with PBE.

```
data_Np2InSb
_cell_length_a 4.627
_cell_length_b 4.683
_cell_length_c 4.683
_cell_angle_alpha 90.00
_cell_angle_beta 90.00
_cell_angle_gamma 90.00
_symmetry_space_group_name_H-M 'P 1'
_symmetry_Int_Tables_number 1
loop_
_symmetry_equiv_pos_as_xyz
'x,y,z'
loop_
_atom_site_label
_atom_site_type_symbol
_atom_site_fract_x
_atom_site_fract_y
_atom_site_fract_z
_atom_site_occupancy
Np1 Np 0.000 0.000 0.500 1
Np2 Np 0.000 0.500 0.000 1
Sb1 Sb 0.500 0.500 0.500 1
In1 In 0.500 0.000 0.000 1
```

Properties
M_tot, μB per formula unit: 9.5
Electronic total energy, eV per atom: -8.174
SG: P4/mmm, No. 123
ΔE_f (raw), eV/atom: 0.01
Distance to the lowest polymorph of the same formula, eV/atom: 0.000



(5)
A relaxed structure of NpInSb2, computed with PBE.

```
data_NpInSb2
_cell_length_a 4.615
_cell_length_b 4.615
_cell_length_c 7.154
_cell_angle_alpha 71.19
_cell_angle_beta 71.19
_cell_angle_gamma 60.00
_symmetry_space_group_name_H-M 'P 1'
_symmetry_Int_Tables_number 1
loop_
_symmetry_equiv_pos_as_xyz
'x,y,z'
loop_
_atom_site_label
_atom_site_type_symbol
_atom_site_fract_x
_atom_site_fract_y
_atom_site_fract_z
_atom_site_occupancy
Np1 Np 0.666 0.666 0.001 1
In1 In 0.496 0.496 0.512 1
Sb1 Sb 0.080 0.080 0.761 1
Sb2 Sb 0.258 0.258 0.226 1
```

Properties
M_tot, μB per formula unit: 4.0
Electronic total energy, eV per atom: -5.938
SG: R3m, No. 160
ΔE_f (raw), eV/atom: 0.04
Distance to the lowest polymorph of the same formula, eV/atom: 0.207



(6)
A relaxed structure of NpInSb2, computed with PBE.

```
data_NpInSb2
_cell_length_a 3.223
_cell_length_b 3.223
_cell_length_c 12.596
_cell_angle_alpha 82.65
_cell_angle_beta 82.65
_cell_angle_gamma 60.00
_symmetry_space_group_name_H-M 'P 1'
_symmetry_Int_Tables_number 1
loop_
_symmetry_equiv_pos_as_xyz
'x,y,z'
loop_
_atom_site_label
_atom_site_type_symbol
_atom_site_fract_x
_atom_site_fract_y
_atom_site_fract_z
_atom_site_occupancy
Np1 Np 0.000 0.000 0.000 1
Sb1 Sb 0.085 0.085 0.746 1
Sb2 Sb 0.915 0.915 0.254 1
In1 In 0.500 0.500 0.500 1
```

Properties
M_tot, μB per formula unit: 4.6
Electronic total energy, eV per atom: -5.639
SG: R-3m, No. 166
ΔE_f (raw), eV/atom: 0.34
Distance to the lowest polymorph of the same formula, eV/atom: 0.507



(7)
A relaxed structure of NpInSb2, computed with PBE.

```
data_NpInSb2
_cell_length_a 4.258
_cell_length_b 4.884
_cell_length_c 4.884
_cell_angle_alpha 90.00
_cell_angle_beta 90.00
_cell_angle_gamma 90.00
_symmetry_space_group_name_H-M 'P 1'
_symmetry_Int_Tables_number 1
loop_
_symmetry_equiv_pos_as_xyz
'x,y,z'
loop_
_atom_site_label
_atom_site_type_symbol
_atom_site_fract_x
_atom_site_fract_y
_atom_site_fract_z
_atom_site_occupancy
Np1 Np 0.500 0.500 0.500 1
Sb1 Sb 0.000 0.000 0.500 1
Sb2 Sb 0.000 0.500 0.000 1
In1 In 0.500 0.000 0.000 1
```

Properties
M_tot, μB per formula unit: 3.8
Electronic total energy, eV per atom: -6.145
SG: P4/mmm, No. 123
ΔE_f (raw), eV/atom: -0.16
Distance to the lowest polymorph of the same formula, eV/atom: 0.000



(8)
A relaxed structure of NpInSnSb, computed with PBE.

```
data_NpInSnSb
_cell_length_a 4.361
_cell_length_b 4.362
_cell_length_c 6.214
_cell_angle_alpha 110.55
_cell_angle_beta 110.54
_cell_angle_gamma 90.00
_symmetry_space_group_name_H-M 'P 1'
_symmetry_Int_Tables_number 1
loop_
_symmetry_equiv_pos_as_xyz
'x,y,z'
loop_
_atom_site_label
_atom_site_type_symbol
_atom_site_fract_x
_atom_site_fract_y
_atom_site_fract_z
_atom_site_occupancy
Np1 Np 0.446 0.446 0.891 1
In1 In 0.196 0.696 0.391 1
Sn1 Sn 0.695 0.195 0.391 1
Sb1 Sb 0.946 0.946 0.891 1
```

Properties
M_tot, μB per formula unit: 4.1
Electronic total energy, eV per atom: -6.072
SG: I-4m2, No. 119
ΔE_f (raw), eV/atom: -0.12



(9)
A relaxed structure of NpZnInSb, computed with PBE.

```
data_NpZnInSb
_cell_length_a 4.359
_cell_length_b 4.431
_cell_length_c 4.842
_cell_angle_alpha 90.00
_cell_angle_beta 90.00
_cell_angle_gamma 90.00
_symmetry_space_group_name_H-M 'P 1'
_symmetry_Int_Tables_number 1
loop_
_symmetry_equiv_pos_as_xyz
'x,y,z'
loop_
_atom_site_label
_atom_site_type_symbol
_atom_site_fract_x
_atom_site_fract_y
_atom_site_fract_z
_atom_site_occupancy
Np1 Np 0.500 0.000 0.500 1
Zn1 Zn 0.000 0.000 0.000 1
In1 In 0.500 0.500 0.000 1
Sb1 Sb 0.000 0.500 0.500 1
```

Properties
M_tot, μB per formula unit: 4.2
Electronic total energy, eV per atom: -5.370
SG: Pmmm, No. 47
ΔE_f (raw), eV/atom: -0.10



(10)
A relaxed structure of NpScIn6, computed with PBE.

```
data_NpScIn6
_cell_length_a 4.582
_cell_length_b 4.582
_cell_length_c 9.161
_cell_angle_alpha 90.00
_cell_angle_beta 90.00
_cell_angle_gamma 90.00
_symmetry_space_group_name_H-M 'P 1'
_symmetry_Int_Tables_number 1
loop_
_symmetry_equiv_pos_as_xyz
'x,y,z'
loop_
_atom_site_label
_atom_site_type_symbol
_atom_site_fract_x
_atom_site_fract_y
_atom_site_fract_z
_atom_site_occupancy
Np1 Np 0.000 0.000 0.500 1
Sc1 Sc 0.000 0.000 0.000 1
In1 In 0.500 0.500 0.000 1
In2 In 0.500 0.500 0.500 1
In3 In 0.500 0.000 0.244 1
In4 In 0.500 0.000 0.756 1
In5 In 0.000 0.500 0.244 1
In6 In 0.000 0.500 0.756 1
```

Properties
E_form, meV per atom: -159
M_tot, μB per formula unit: 4.4
Electronic total energy, eV per atom: -4.622
SG: P4/mmm, No. 123